Mg2SiAsPb (PBE, optimized geometry); DOS at the Fermi energy = 0.5461 states/eV/atom; total magnetic moment = 0.0 μB/f.u.; energy relative to the elements, uncorrected = 1.9 eV per formula unit; theoretical density = 4.250 g/cm3
1.0
4.851 0.000 0.000
0.000 4.851 0.000
0.000 0.000 5.957
Mg Si As Pb
2 1 1 1
Direct
0.000 0.500 0.000
0.500 0.000 0.000
0.000 0.000 0.500
0.500 0.500 0.000
0.500 0.500 0.500

=====

CdCu2Bi2 (PBE, optimized geometry); DOS at the Fermi energy = 0.5227 states/eV/atom; total magnetic moment = 0.0 μB/f.u.; theoretical density = 8.908 g/cm3; DFT total energy = -3.02 eV/atom
1.0
-2.340 2.340 5.597
2.340 -2.340 5.597
2.340 2.340 -5.597
Cd Cu Bi
1 2 2
Direct
0.000 0.000 0.000
0.393 0.393 0.000
0.607 0.607 0.000
0.250 0.750 0.500
0.750 0.250 0.500

=====

BeTe2N2 (PBE, optimized geometry); DOS at the Fermi energy = 0.2651 states/eV/atom; total magnetic moment = 0.0 μB/f.u.; energy relative to the elements, uncorrected = 7.4 eV per formula unit; theoretical density = 4.719 g/cm3
1.0
3.892 0.000 0.000
0.000 3.892 0.000
0.000 0.000 6.787
Be Te N
1 2 2
Direct
0.000 0.000 0.000
0.500 0.500 0.000
0.500 0.500 0.500
0.000 0.500 0.500
0.500 0.000 0.500

=====

Look up the total magnetic moment of the third one.
0.0 μB/f.u.

=====

Among the records above, which one has the lowest DOS at the Fermi energy?
BeTe2N2

=====

Which value of theoretical density does entry 1 give?
4.250 g/cm3